1.
Computed, not measured: a geometry-optimized LiZr2Ir structure at the PBE level of DFT.

As for the formation energy from the elements: -0.019 eV/atom. Its calculated volume is 81.7 Å³/f.u. As for the offset from the most stable computed form: 0.4479 eV per atom.

It has space group I-42d (No. 122), with a = 7.5254 Å, b = 7.5254 Å, c = 5.7677 Å, α = 90.00°, β = 90.00° and γ = 90.00°. The asymmetric unit holds Li at (0.0000, 0.0000, 0.0000), Zr at (0.2178, 0.2500, 0.6250) and Ir at (0.0000, 0.0000, 0.5000).



2.
Computed, not measured: a geometry-optimized Cr2NiAg structure at the PBE level of DFT.

As for the formation energy from the elements: 0.527 eV/atom. Its calculated volume is 51.7 Å³/f.u. As for the offset from the most stable computed form: 0.2428 eV per atom.

It has space group Cmmm (No. 65), with a = 5.0240 Å, b = 8.1148 Å, c = 2.5370 Å, α = 90.00°, β = 90.00° and γ = 90.00°. The asymmetric unit holds Cr at (0.2500, 0.2500, 0.0000), Ni at (0.0000, 0.0000, 0.5000) and Ag at (0.0000, 0.5000, 0.5000).